Entry 1:
# PBE-GGA Ba6Bi2SbI3, optimized geometry
# Final energy: -3.6782 eV/atom
# Theoretical density: 5.04 Mg/m³
# M_tot: 0.000 Bohr magnetons per cell
# Crystal system: monoclinic
# Formation energy without anion corrections: -16.067 eV/f.u.
data_Ba6Bi2SbI3
_chemical_formula_sum 'Ba12 Bi4 Sb2 I6'
_symmetry_space_group_name_H-M 'C 1 2/m 1'
_symmetry_Int_Tables_number 12
_cell_length_a 8.8842
_cell_length_b 15.3848
_cell_length_c 8.9109
_cell_angle_alpha 90.00
_cell_angle_beta 109.42
_cell_angle_gamma 90.00
loop_
_symmetry_equiv_pos_as_xyz
'x,y,z'
'-x,-y,-z'
'-x,y,-z'
'x,-y,z'
'x+1/2,y+1/2,z'
'-x+1/2,-y+1/2,-z'
'-x+1/2,y+1/2,-z'
'x+1/2,-y+1/2,z'
loop_
_atom_site_label
_atom_site_type_symbol
_atom_site_fract_x
_atom_site_fract_y
_atom_site_fract_z
_atom_site_occupancy
Ba1 Ba 0.2377 0.1647 0.2189 1
Ba2 Ba 0.2435 0.5000 0.2187 1
Bi1 Bi 0.0000 0.3333 0.0000 1
Sb1 Sb 0.0000 0.0000 0.0000 1
I1 I 0.0000 0.1670 0.5000 1
I2 I 0.0000 0.5000 0.5000 1

***

Entry 2:
# PBE-GGA DyYPb2, optimized geometry
# Final energy: -5.0960 eV/atom
# Theoretical density: 9.43 Mg/m³
# M_tot: 0.000 Bohr magnetons per cell
# Crystal system: orthorhombic
# Fermi-level density of states: 5.11 states/eV/cell
# Energy relative to the elements: -0.475 eV per atom
data_DyYPb2
_chemical_formula_sum 'Dy2 Y2 Pb4'
_symmetry_space_group_name_H-M 'P m c 21'
_symmetry_Int_Tables_number 26
_cell_length_a 4.4389
_cell_length_b 6.2489
_cell_length_c 8.4537
_cell_angle_alpha 90.00
_cell_angle_beta 90.00
_cell_angle_gamma 90.00
loop_
_symmetry_equiv_pos_as_xyz
'x,y,z'
'-x,-y,z+1/2'
'-x,y,z'
'x,-y,z+1/2'
loop_
_atom_site_label
_atom_site_type_symbol
_atom_site_fract_x
_atom_site_fract_y
_atom_site_fract_z
_atom_site_occupancy
Dy1 Dy 0.0000 0.1183 0.0000 1
Y1 Y 0.5000 0.3818 0.3751 1
Pb1 Pb 0.0000 0.4222 0.6449 1
Pb2 Pb 0.5000 0.0781 0.7302 1

***

Entry 3:
# PBE-GGA RhPb2Br, optimized geometry
# Final energy: -4.2841 eV/atom
# Theoretical density: 9.12 Mg/m³
# M_tot: 0.000 Bohr magnetons per cell
# Excess energy over the best structure of this formula in the dataset: 0 meV per atom
# Crystal system: monoclinic
# Formation energy without anion corrections: -0.695 eV/f.u.
# Fermi-level density of states: 2.97 states/eV/cell
data_RhPb2Br
_chemical_formula_sum 'Rh2 Pb4 Br2'
_symmetry_space_group_name_H-M 'C 1 2/m 1'
_symmetry_Int_Tables_number 12
_cell_length_a 6.9827
_cell_length_b 4.0317
_cell_length_c 8.0398
_cell_angle_alpha 90.00
_cell_angle_beta 106.18
_cell_angle_gamma 90.00
loop_
_symmetry_equiv_pos_as_xyz
'x,y,z'
'-x,-y,-z'
'-x,y,-z'
'x,-y,z'
'x+1/2,y+1/2,z'
'-x+1/2,-y+1/2,-z'
'-x+1/2,y+1/2,-z'
'x+1/2,-y+1/2,z'
loop_
_atom_site_label
_atom_site_type_symbol
_atom_site_fract_x
_atom_site_fract_y
_atom_site_fract_z
_atom_site_occupancy
Rh1 Rh 0.0000 0.0000 0.0000 1
Pb1 Pb 0.2289 0.5000 0.1936 1
Br1 Br 0.0000 0.5000 0.5000 1

***

Entry 4:
# PBE-GGA Ce2GdPb, optimized geometry
# Final energy: -7.6834 eV/atom
# Theoretical density: 9.34 Mg/m³
# M_tot: 9.567 Bohr magnetons per cell
# Excess energy over the best structure of this formula in the dataset: 0 meV per atom
# Crystal system: tetragonal
# Fermi-level density of states: 10.61 states/eV/cell
# Energy relative to the elements: -0.269 eV per atom
data_Ce2GdPb
_chemical_formula_sum 'Ce2 Gd1 Pb1'
_symmetry_space_group_name_H-M 'P 4/m m m'
_symmetry_Int_Tables_number 123
_symmetry_space_group_name_Hall '-P 4 2'
_cell_length_a 4.7191
_cell_length_b 4.7191
_cell_length_c 5.1460
_cell_angle_alpha 90.00
_cell_angle_beta 90.00
_cell_angle_gamma 90.00
loop_
_atom_site_label
_atom_site_type_symbol
_atom_site_fract_x
_atom_site_fract_y
_atom_site_fract_z
_atom_site_occupancy
Ce1 Ce 0.0000 0.5000 0.0000 1
Gd1 Gd 0.0000 0.0000 0.5000 1
Pb1 Pb 0.5000 0.5000 0.5000 1